No. 1
This record from Alexandria via LeMat-Bulk describes InPb3 after structural relaxation. The functional is PBE.

abc: 6.173 6.173 3.487
angles: 90.00 90.00 112.30
Element x y z (fractional)
Pb 0.000 0.500 0.500
Pb 0.500 0.000 0.500
Pb 0.500 0.500 0.000
In 0.000 0.000 0.000

The space group is Cmmm, No. 65. The formation energy is 15 meV per atom.

=====

No. 2
This record from Alexandria via LeMat-Bulk describes InPb3 after structural relaxation. The functional is PBE.

abc: 3.469 3.469 11.697
angles: 90.00 90.00 120.00
Element x y z (fractional)
Pb 0.000 0.000 0.500
Pb 0.667 0.333 0.245
Pb 0.667 0.333 0.755
In 0.000 0.000 0.000

The space group is P-6m2, No. 187. The formation energy is 22 meV per atom.

=====

No. 3
This record from Alexandria via LeMat-Bulk describes In5Pb2 after structural relaxation. The functional is PBE.

abc: 4.929 5.822 7.828
angles: 98.98 90.00 115.04
Element x y z (fractional)
In 0.357 0.713 0.071
In 0.643 0.287 0.929
In 0.214 0.428 0.639
In 0.500 0.000 0.500
In 0.786 0.572 0.361
Pb 0.073 0.147 0.214
Pb 0.927 0.853 0.786

The space group is C2/m, No. 12. The formation energy is 21 meV per atom.

=====

No. 4
This record from Alexandria via LeMat-Bulk describes In2Pb after structural relaxation. The functional is PBE.

abc: 4.929 5.832 6.905
angles: 104.78 90.00 114.99
Element x y z (fractional)
In 0.167 0.334 0.340
In 0.833 0.666 0.660
In 0.500 0.000 0.500
In 0.500 0.000 0.000
Pb 0.167 0.334 0.833
Pb 0.833 0.666 0.167

The space group is C2/m, No. 12. The formation energy is 19 meV per atom.

=====

No. 5
This record from Alexandria via LeMat-Bulk describes In2Pb after structural relaxation. The functional is PBE.

abc: 3.376 3.376 7.983
angles: 100.97 100.97 95.74
Element x y z (fractional)
In 0.330 0.330 0.660
In 0.670 0.670 0.340
Pb 0.000 0.000 0.000

The space group is Fmmm, No. 69. The formation energy is 22 meV per atom.

=====

No. 6
This record from Alexandria via LeMat-Bulk describes In4Pb5 after structural relaxation. The functional is PBE.

abc: 3.876 8.535 8.535
angles: 87.04 76.88 76.88
Element x y z (fractional)
In 0.000 0.339 0.661
In 0.000 0.661 0.339
In 0.339 0.661 0.661
In 0.661 0.339 0.339
Pb 0.000 0.000 0.000
Pb 0.333 0.000 0.333
Pb 0.667 0.000 0.667
Pb 0.333 0.333 0.000
Pb 0.667 0.667 0.000

The space group is I4/mmm, No. 139. The formation energy is 38 meV per atom.

=====

No. 7
This record from Alexandria via LeMat-Bulk describes InPb after structural relaxation. The functional is PBE.

abc: 4.407 4.407 8.998
angles: 90.00 90.00 120.00
Element x y z (fractional)
In 0.333 0.667 0.378
In 0.667 0.333 0.878
Pb 0.333 0.667 0.704
Pb 0.667 0.333 0.204

The space group is P6_3mc, No. 186. The formation energy is 290 meV per atom.

=====

No. 8
This record from Alexandria via LeMat-Bulk describes In2Pb after structural relaxation. The functional is PBE.

abc: 6.991 6.991 6.991
angles: 149.79 149.79 43.24
Element x y z (fractional)
Pb 0.000 0.000 0.000
In 0.329 0.329 0.000
In 0.671 0.671 0.000

The space group is I4/mmm, No. 139. The formation energy is 25 meV per atom.

=====

No. 9
This record from Alexandria via LeMat-Bulk describes InPb3 after structural relaxation. The functional is PBE.

abc: 3.576 4.808 7.123
angles: 90.00 90.00 90.00
Element x y z (fractional)
Pb 0.500 0.500 0.757
Pb 0.000 0.000 0.500
Pb 0.500 0.500 0.243
In 0.000 0.000 0.000

The space group is Pmmm, No. 47. The formation energy is 8 meV per atom.

=====

No. 10
This record from Alexandria via LeMat-Bulk describes InPb3 after structural relaxation. The functional is PBE.

abc: 11.819 11.819 11.819
angles: 17.06 17.06 17.06
Element x y z (fractional)
Pb 0.747 0.747 0.747
Pb 0.500 0.500 0.500
Pb 0.253 0.253 0.253
In 0.000 0.000 0.000

The space group is R-3m, No. 166. The formation energy is 27 meV per atom.

=====

No. 11
This record from Alexandria via LeMat-Bulk describes InPb after structural relaxation. The functional is PBE.

abc: 9.961 5.288 6.767
angles: 90.00 90.00 90.00
Element x y z (fractional)
In 0.842 0.000 0.664
In 0.158 0.000 0.664
In 0.342 0.500 0.164
In 0.658 0.500 0.164
In 0.000 0.500 0.416
In 0.500 0.000 0.916
Pb 0.833 0.000 0.175
Pb 0.167 0.000 0.175
Pb 0.333 0.500 0.675
Pb 0.667 0.500 0.675
Pb 0.000 0.500 0.907
Pb 0.500 0.000 0.407

The space group is Imm2, No. 44. The formation energy is 55 meV per atom.

=====

No. 12
This record from Alexandria via LeMat-Bulk describes In4Pd7Pb after structural relaxation. The functional is PBE.

abc: 5.040 8.933 5.984
angles: 80.36 65.10 73.62
Element x y z (fractional)
In 0.590 0.227 0.593
In 0.410 0.773 0.407
In 0.756 0.663 0.824
In 0.244 0.337 0.176
Pd 0.788 0.914 0.510
Pd 0.212 0.086 0.490
Pd 0.063 0.659 0.215
Pd 0.937 0.341 0.785
Pd 0.360 0.526 0.754
Pd 0.500 0.000 0.000
Pd 0.640 0.474 0.246
Pb 0.000 0.000 0.000

The space group is C2/m, No. 12. The formation energy is -308 meV per atom.

=====

No. 13
This record from Alexandria via LeMat-Bulk describes In2Pd2Pb after structural relaxation. The functional is PBE.

abc: 4.215 4.215 6.981
angles: 72.43 72.43 90.00
Element x y z (fractional)
Pb 0.000 0.000 0.000
Pd 0.391 0.391 0.217
Pd 0.609 0.609 0.783
In 0.750 0.250 0.500
In 0.250 0.750 0.500

The space group is I4/mmm, No. 139. The formation energy is -214 meV per atom.

=====

No. 14
This record from Alexandria via LeMat-Bulk describes InPd8Pb2 after structural relaxation. The functional is PBE.

abc: 4.174 6.513 7.765
angles: 107.98 105.59 90.00
Element x y z (fractional)
In 0.500 0.000 0.000
Pd 0.414 0.545 0.827
Pd 0.672 0.918 0.344
Pd 0.856 0.801 0.712
Pd 0.964 0.267 0.929
Pd 0.144 0.199 0.288
Pd 0.328 0.082 0.656
Pd 0.586 0.455 0.173
Pd 0.036 0.733 0.071
Pb 0.789 0.338 0.579
Pb 0.211 0.662 0.421

The space group is C2/m, No. 12. The formation energy is -282 meV per atom.

=====

No. 15
This record from Alexandria via LeMat-Bulk describes In3Pd12Pb after structural relaxation. The functional is PBE.

abc: 4.062 4.062 16.186
angles: 90.00 90.00 90.00
Element x y z (fractional)
In 0.000 0.000 0.253
In 0.000 0.000 0.500
In 0.000 0.000 0.747
Pd 0.500 0.500 0.000
Pd 0.500 0.500 0.252
Pd 0.500 0.500 0.500
Pd 0.500 0.500 0.748
Pd 0.500 0.000 0.129
Pd 0.500 0.000 0.376
Pd 0.500 0.000 0.624
Pd 0.500 0.000 0.871
Pd 0.000 0.500 0.129
Pd 0.000 0.500 0.376
Pd 0.000 0.500 0.624
Pd 0.000 0.500 0.871
Pb 0.000 0.000 0.000

The space group is P4/mmm, No. 123. The formation energy is -392 meV per atom.

=====

No. 16
This record from Alexandria via LeMat-Bulk describes InPd5Pb after structural relaxation. The functional is PBE.

abc: 4.081 4.081 7.723
angles: 90.00 90.00 90.00
Element x y z (fractional)
In 0.000 0.000 0.500
Pd 0.000 0.500 0.755
Pd 0.000 0.500 0.245
Pd 0.500 0.000 0.755
Pd 0.500 0.000 0.245
Pd 0.500 0.500 0.500
Pb 0.500 0.500 0.000

The space group is P4/mmm, No. 123. The formation energy is -333 meV per atom.

=====

No. 17
This record from Alexandria via LeMat-Bulk describes InPdPb4 after structural relaxation. The functional is PBE.

abc: 3.524 3.524 13.085
angles: 90.00 90.00 90.00
Element x y z (fractional)
In 0.000 0.000 0.000
Pd 0.500 0.500 0.500
Pb 0.500 0.500 0.827
Pb 0.500 0.500 0.173
Pb 0.000 0.000 0.630
Pb 0.000 0.000 0.370

The space group is P4/mmm, No. 123. The formation energy is -80 meV per atom.

=====

No. 18
This record from Alexandria via LeMat-Bulk describes In2Pd8Pb after structural relaxation. The functional is PBE.

abc: 4.162 6.428 7.569
angles: 105.34 105.96 90.00
Element x y z (fractional)
In 0.783 0.341 0.566
In 0.217 0.659 0.434
Pd 0.407 0.536 0.813
Pd 0.678 0.918 0.355
Pd 0.851 0.792 0.702
Pd 0.962 0.273 0.924
Pd 0.149 0.208 0.298
Pd 0.322 0.082 0.645
Pd 0.593 0.464 0.187
Pd 0.038 0.727 0.076
Pb 0.500 0.000 0.000

The space group is C2/m, No. 12. The formation energy is -362 meV per atom.

=====

No. 19
This record from Alexandria via LeMat-Bulk describes InPd2Pb after structural relaxation. The functional is PBE.

abc: 3.294 3.294 8.831
angles: 79.25 79.25 60.00
Element x y z (fractional)
In 0.667 0.667 0.999
Pd 0.079 0.079 0.764
Pd 0.255 0.255 0.236
Pb 0.500 0.500 0.500

The space group is R3m, No. 160. The formation energy is -224 meV per atom.

=====

No. 20
This record from Alexandria via LeMat-Bulk describes InPd3Pb after structural relaxation. The functional is PBE.

abc: 5.094 5.563 7.545
angles: 85.77 113.53 105.83
Element x y z (fractional)
In 0.959 0.364 0.802
In 0.041 0.636 0.198
Pd 0.276 0.411 0.562
Pd 0.524 0.265 0.959
Pd 0.124 0.167 0.170
Pd 0.724 0.589 0.438
Pd 0.876 0.833 0.830
Pd 0.476 0.735 0.041
Pb 0.306 0.907 0.651
Pb 0.694 0.093 0.349

The space group is P-1, No. 2. The formation energy is -323 meV per atom.

=====

No. 21
This record from Alexandria via LeMat-Bulk describes In2Pd7Pb2 after structural relaxation. The functional is PBE.

abc: 6.066 6.382 6.066
angles: 90.00 97.70 90.00
Element x y z (fractional)
In 0.710 0.000 0.290
In 0.290 0.000 0.710
Pd 0.000 0.269 0.500
Pd 0.500 0.731 0.000
Pd 0.000 0.731 0.500
Pd 0.500 0.269 0.000
Pd 0.000 0.000 0.000
Pd 0.500 0.714 0.500
Pd 0.500 0.286 0.500
Pb 0.811 0.500 0.811
Pb 0.189 0.500 0.189

The space group is Cmmm, No. 65. The formation energy is -93 meV per atom.

=====

No. 22
This record from Alexandria via LeMat-Bulk describes InPdPb after structural relaxation. The functional is PBE.

abc: 3.405 3.405 6.441
angles: 105.33 105.33 90.00
Element x y z (fractional)
Pb 0.019 0.019 0.038
Pd 0.678 0.678 0.356
In 0.303 0.303 0.606

The space group is I4mm, No. 107. The formation energy is -204 meV per atom.

=====

No. 23
This record from Alexandria via LeMat-Bulk describes InPdPb after structural relaxation. The functional is PBE.

abc: 3.593 3.593 10.899
angles: 90.00 90.00 90.00
Element x y z (fractional)
Pd 0.000 0.500 0.579
Pd 0.500 0.000 0.421
In 0.500 0.000 0.677
In 0.000 0.500 0.323
Pb 0.000 0.500 0.879
Pb 0.500 0.000 0.121

The space group is P4/nmm, No. 129. The formation energy is -223 meV per atom.

=====

No. 24
This record from Alexandria via LeMat-Bulk describes In4Pd5Pb after structural relaxation. The functional is PBE.

abc: 3.339 3.339 16.713
angles: 90.00 90.00 90.00
Element x y z (fractional)
In 0.000 0.000 0.209
In 0.000 0.000 0.403
In 0.000 0.000 0.597
In 0.000 0.000 0.791
Pd 0.500 0.500 0.118
Pd 0.500 0.500 0.306
Pd 0.500 0.500 0.500
Pd 0.500 0.500 0.694
Pd 0.500 0.500 0.882
Pb 0.000 0.000 0.000

The space group is P4/mmm, No. 123. The formation energy is -430 meV per atom.

=====

No. 25
This record from Alexandria via LeMat-Bulk describes In2PdPb after structural relaxation. The functional is PBE.

abc: 3.314 3.314 8.530
angles: 90.00 90.00 90.00
Element x y z (fractional)
Pb 0.500 0.500 0.500
Pd 0.500 0.500 0.000
In 0.000 0.000 0.804
In 0.000 0.000 0.196

The space group is P4/mmm, No. 123. The formation energy is -186 meV per atom.

=====

No. 26
This record from Alexandria via LeMat-Bulk describes InPd8Pb2 after structural relaxation. The functional is PBE.

abc: 4.100 7.844 7.589
angles: 121.12 105.67 90.00
Element x y z (fractional)
In 0.500 0.000 0.000
Pd 0.665 0.914 0.330
Pd 0.335 0.584 0.670
Pd 0.165 0.165 0.331
Pd 0.000 0.249 0.000
Pd 0.835 0.835 0.669
Pd 0.665 0.416 0.330
Pd 0.335 0.086 0.670
Pd 0.000 0.751 0.000
Pb 0.160 0.660 0.320
Pb 0.840 0.340 0.680

The space group is Immm, No. 71. The formation energy is -309 meV per atom.

=====

One value per record, in order, for DOS at the Fermi energy: 0.61, 0.43, 0.45, 0.45, 0.44, 0.50, 0.46, 0.47, 0.42, 0.37, 0.39, 0.41, 0.43, 0.49, 0.93, 0.21, 0.31, 0.39, 0.49, 0.35, 0.27, 0.57, 0.35, 0.35, 0.42, 0.34 states/eV/atom.
One value per record, in order, for total moment: 0.00, 0.00, 0.00, 0.00, 0.00, 0.00, 0.00, 0.00, 0.00, 0.00, 0.00, 0.00, 0.00, 0.00, 0.00, 0.00, 0.00, 0.00, 0.00, 0.00, 0.00, 0.00, 0.00, 0.00, 0.00, 0.00 μB per formula unit.
One value per record, in order, for total DFT energy (no corrections): -0.2536, -0.2531, -0.2201, -0.2236, -0.2234, -0.2380, -0.2156, -0.2232, -0.2542, -0.2528, -0.2329, -0.3351, -0.3034, -0.3661, -0.3699, -0.3648, -0.2847, -0.3655, -0.3257, -0.3475, -0.3359, -0.3002, -0.3015, -0.3302, -0.2778, -0.3681 Ry/atom.